The following is a DFT calculation (GGA-PBE) of a relaxed SbHCI2 crystal.

CIF file:
```
data_SbHCI2
_cell_length_a 5.358
_cell_length_b 5.358
_cell_length_c 4.586
_cell_angle_alpha 90.00
_cell_angle_beta 90.00
_cell_angle_gamma 90.00
_space_group_name_H-M_alt 'P 1'
_space_group_IT_number 1
_space_group_name_Hall 'P 1'
loop_
_atom_site_label
_atom_site_fract_x
_atom_site_fract_y
_atom_site_fract_z
Sb1 0.000 0.000 0.000
H1 0.500 0.500 0.000
C1 0.000 0.000 0.500
I1 0.000 0.500 0.500
I2 0.500 0.000 0.500
```

Calculated values
The space-group type is P4/mmm, No. 123. The value obtained for the energy above the most stable polymorph in this dataset is 0.000 eV/atom.

The following is a DFT calculation (GGA-PBE) of a relaxed MgInAg2Pt crystal.

CIF file:
```
data_MgInAg2Pt
_cell_length_a 5.082
_cell_length_b 5.082
_cell_length_c 5.037
_cell_angle_alpha 90.00
_cell_angle_beta 90.00
_cell_angle_gamma 90.00
_space_group_name_H-M_alt 'P 1'
_space_group_IT_number 1
_space_group_name_Hall 'P 1'
loop_
_atom_site_label
_atom_site_fract_x
_atom_site_fract_y
_atom_site_fract_z
Mg1 0.000 0.000 0.000
In1 0.500 0.500 0.500
Ag1 0.000 0.500 0.500
Ag2 0.500 0.000 0.500
Pt1 0.500 0.500 0.000
```

Calculated values
The space-group type is P4/mmm, No. 123. As for the formation energy: 0.528 eV per atom.

The following is a DFT calculation (GGA-PBE) of a relaxed Pm4Nd7Dy crystal.

CIF file:
```
data_Pm4Nd7Dy
_cell_length_a 8.762
_cell_length_b 8.762
_cell_length_c 9.434
_cell_angle_alpha 114.28
_cell_angle_beta 114.28
_cell_angle_gamma 40.64
_space_group_name_H-M_alt 'P 1'
_space_group_IT_number 1
_space_group_name_Hall 'P 1'
loop_
_atom_site_label
_atom_site_fract_x
_atom_site_fract_y
_atom_site_fract_z
Pm1 0.074 0.074 0.200
Pm2 0.173 0.173 0.889
Pm3 0.827 0.827 0.111
Pm4 0.926 0.926 0.800
Nd1 0.000 0.000 0.500
Nd2 0.291 0.291 0.624
Nd3 0.292 0.292 0.275
Nd4 0.419 0.419 0.063
Nd5 0.581 0.581 0.937
Nd6 0.708 0.708 0.725
Nd7 0.709 0.709 0.376
Dy1 0.500 0.500 0.500
```

Calculated values
The space-group type is C2/m, No. 12. The value obtained for the energy above the most stable polymorph in this dataset is 0.199 eV/atom. As for the formation energy: 0.209 eV per atom.

The following is a DFT calculation (GGA-PBE) of a relaxed Nd6TmTh2 crystal.

CIF file:
```
data_Nd6TmTh2
_cell_length_a 8.965
_cell_length_b 8.965
_cell_length_c 12.305
_cell_angle_alpha 125.30
_cell_angle_beta 125.30
_cell_angle_gamma 22.57
_space_group_name_H-M_alt 'P 1'
_space_group_IT_number 1
_space_group_name_Hall 'P 1'
loop_
_atom_site_label
_atom_site_fract_x
_atom_site_fract_y
_atom_site_fract_z
Nd1 0.043 0.043 0.255
Nd2 0.227 0.227 0.611
Nd3 0.382 0.382 0.943
Nd4 0.618 0.618 0.057
Nd5 0.773 0.773 0.389
Nd6 0.957 0.957 0.745
Tm1 0.000 0.000 0.500
Th1 0.328 0.328 0.170
Th2 0.672 0.672 0.830
```

Calculated values
The space-group type is C2/m, No. 12. As for the formation energy: 0.123 eV per atom.

The following is a DFT calculation (GGA-PBE) of a relaxed LaZn2Cu3 crystal.

CIF file:
```
data_LaZn2Cu3
_cell_length_a 6.426
_cell_length_b 6.426
_cell_length_c 5.106
_cell_angle_alpha 90.00
_cell_angle_beta 90.00
_cell_angle_gamma 81.08
_space_group_name_H-M_alt 'P 1'
_space_group_IT_number 1
_space_group_name_Hall 'P 1'
loop_
_atom_site_label
_atom_site_fract_x
_atom_site_fract_y
_atom_site_fract_z
La1 0.193 0.807 0.750
La2 0.807 0.193 0.250
Zn1 0.281 0.281 0.000
Zn2 0.281 0.281 0.500
Zn3 0.719 0.719 0.000
Zn4 0.719 0.719 0.500
Cu1 0.048 0.588 0.250
Cu2 0.412 0.952 0.250
Cu3 0.433 0.567 0.250
Cu4 0.567 0.433 0.750
Cu5 0.588 0.048 0.750
Cu6 0.952 0.412 0.750
```

Calculated values
The space-group type is Cmcm, No. 63. As for the formation energy: -0.228 eV per atom.

The following is a DFT calculation (GGA-PBE) of a relaxed CaZr2IO8 crystal.

CIF file:
```
data_CaZr2IO8
_cell_length_a 4.942
_cell_length_b 4.942
_cell_length_c 6.700
_cell_angle_alpha 90.00
_cell_angle_beta 90.00
_cell_angle_gamma 90.97
_space_group_name_H-M_alt 'P 1'
_space_group_IT_number 1
_space_group_name_Hall 'P 1'
loop_
_atom_site_label
_atom_site_fract_x
_atom_site_fract_y
_atom_site_fract_z
Ca1 0.000 0.000 0.000
Zr1 0.500 0.500 0.242
Zr2 0.500 0.500 0.758
I1 0.000 0.000 0.500
O1 0.198 0.198 0.283
O2 0.198 0.198 0.717
O3 0.292 0.708 0.500
O4 0.320 0.680 0.000
O5 0.680 0.320 0.000
O6 0.708 0.292 0.500
O7 0.802 0.802 0.283
O8 0.802 0.802 0.717
```

Calculated values
The space-group type is Cmmm, No. 65. For the uncorrected formation energy, the calculation gives -51.055 kcal/mol of atoms.

The following is a DFT calculation (GGA-PBE) of a relaxed Tc2SbBr crystal.

CIF file:
```
data_Tc2SbBr
_cell_length_a 3.097
_cell_length_b 3.097
_cell_length_c 30.638
_cell_angle_alpha 90.00
_cell_angle_beta 90.00
_cell_angle_gamma 120.00
_space_group_name_H-M_alt 'P 1'
_space_group_IT_number 1
_space_group_name_Hall 'P 1'
loop_
_atom_site_label
_atom_site_fract_x
_atom_site_fract_y
_atom_site_fract_z
Tc1 0.000 0.000 0.000
Tc2 0.000 0.000 0.268
Tc3 0.333 0.667 0.667
Tc4 0.333 0.667 0.935
Tc5 0.667 0.333 0.333
Tc6 0.667 0.333 0.602
Sb1 0.000 0.000 0.532
Sb2 0.333 0.667 0.198
Sb3 0.667 0.333 0.865
Br1 0.000 0.000 0.731
Br2 0.333 0.667 0.397
Br3 0.667 0.333 0.064
```

Calculated values
The space-group type is R3m, No. 160. The value obtained for the energy above the most stable polymorph in this dataset is 0.223 eV/atom. For the uncorrected formation energy, the calculation gives 7.474 kcal/mol of atoms.

The following is a DFT calculation (GGA-PBE) of a relaxed Li2LaHoS4 crystal.

CIF file:
```
data_Li2LaHoS4
_cell_length_a 6.607
_cell_length_b 4.024
_cell_length_c 6.989
_cell_angle_alpha 90.00
_cell_angle_beta 110.70
_cell_angle_gamma 90.00
_space_group_name_H-M_alt 'P 1'
_space_group_IT_number 1
_space_group_name_Hall 'P 1'
loop_
_atom_site_label
_atom_site_fract_x
_atom_site_fract_y
_atom_site_fract_z
Li1 0.000 0.000 0.000
Li2 0.000 0.500 0.500
La1 0.500 0.000 0.500
Ho1 0.500 0.500 0.000
S1 0.245 0.500 0.235
S2 0.249 0.000 0.761
S3 0.751 0.000 0.239
S4 0.755 0.500 0.765
```

Calculated values
The space-group type is P2/m, No. 10. For the uncorrected formation energy, the calculation gives -42.227 kcal/mol of atoms.

The following is a DFT calculation (GGA-PBE) of a relaxed SrTcAs2Ru crystal.

CIF file:
```
data_SrTcAs2Ru
_cell_length_a 4.280
_cell_length_b 4.280
_cell_length_c 10.920
_cell_angle_alpha 90.00
_cell_angle_beta 90.00
_cell_angle_gamma 90.00
_space_group_name_H-M_alt 'P 1'
_space_group_IT_number 1
_space_group_name_Hall 'P 1'
loop_
_atom_site_label
_atom_site_fract_x
_atom_site_fract_y
_atom_site_fract_z
Sr1 0.000 0.000 0.000
Sr2 0.500 0.500 0.500
Tc1 0.000 0.500 0.250
Tc2 0.500 0.000 0.750
As1 0.000 0.000 0.359
As2 0.000 0.000 0.641
As3 0.500 0.500 0.141
As4 0.500 0.500 0.859
Ru1 0.000 0.500 0.750
Ru2 0.500 0.000 0.250
```

Calculated values
The space-group type is I-4m2, No. 119. As for the formation energy: -0.583 eV per atom.

The following is a DFT calculation (GGA-PBE) of a relaxed Zr3ScTc crystal.

CIF file:
```
data_Zr3ScTc
_cell_length_a 5.802
_cell_length_b 9.361
_cell_length_c 8.137
_cell_angle_alpha 90.00
_cell_angle_beta 90.00
_cell_angle_gamma 90.00
_space_group_name_H-M_alt 'P 1'
_space_group_IT_number 1
_space_group_name_Hall 'P 1'
loop_
_atom_site_label
_atom_site_fract_x
_atom_site_fract_y
_atom_site_fract_z
Zr1 0.105 0.031 0.164
Zr2 0.105 0.469 0.164
Zr3 0.217 0.250 0.454
Zr4 0.283 0.750 0.954
Zr5 0.395 0.531 0.664
Zr6 0.395 0.969 0.664
Zr7 0.605 0.031 0.336
Zr8 0.605 0.469 0.336
Zr9 0.717 0.250 0.046
Zr10 0.783 0.750 0.546
Zr11 0.895 0.531 0.836
Zr12 0.895 0.969 0.836
Sc1 0.219 0.250 0.862
Sc2 0.281 0.750 0.362
Sc3 0.719 0.250 0.638
Sc4 0.781 0.750 0.138
Tc1 0.000 0.000 0.500
Tc2 0.000 0.500 0.500
Tc3 0.500 0.000 0.000
Tc4 0.500 0.500 0.000
```

Calculated values
The space-group type is Pnma, No. 62. The value obtained for the energy above the most stable polymorph in this dataset is 0.000 eV/atom. As for the formation energy: -0.067 eV per atom.

Sequential total magnetic moment output: 0.189 0.000 0.041 0.000 0.000 0.000 0.054 0.000 0.000 0.000 μB per atom
Sequential V output: 26.33 26.02 35.33 34.08 17.36 13.64 21.20 21.72 20.00 22.10 A^3/atom